Density functional theory data (GGA+U) for Tm5Mo2O12 after structural relaxation. Values from VASP.

Calculated values
Magnetization (μB/f.u.): 1.0
Electronic total energy (eV per atom): -8.05

Quantum ESPRESSO input file:
```
&SYSTEM
  ibrav = 0, nat = 19, ntyp = 3
/
ATOMIC_SPECIES
Tm 168.93 Tm.upf
O 16.00 O.upf
Mo 95.94 Mo.upf
CELL_PARAMETERS angstrom
-3.277 4.682 0.003
-2.636 -5.331 -3.145
-1.378 -0.968 7.284
ATOMIC_POSITIONS angstrom
Tm -3.815 0.817 1.400
Tm -2.944 -2.060 -0.653
Tm -4.348 0.442 4.794
Tm -3.476 -2.434 2.742
Tm -0.689 -0.484 3.642
O -5.394 -3.777 2.781
O -4.356 -1.323 0.939
O -1.120 -0.787 5.752
O -4.557 2.023 3.203
O -3.984 2.394 -0.410
O -2.734 -3.641 0.938
O -1.897 2.159 1.360
O -6.171 -0.830 -1.611
O -2.935 -0.295 3.202
O -2.393 0.120 -0.412
O -3.307 -4.011 4.552
O -4.899 -1.737 4.553
Mo -2.559 3.656 0.002
Mo -0.718 1.026 0.001
```

***

Density functional theory data (GGA+U) for Tm2Mo2O7 after structural relaxation. Values from VASP.

Calculated values
Magnetization (μB/f.u.): 4.0
Electronic total energy (eV per atom): -7.83

Quantum ESPRESSO input file:
```
&SYSTEM
  ibrav = 0, nat = 22, ntyp = 3
/
ATOMIC_SPECIES
Tm 168.93 Tm.upf
Mo 95.94 Mo.upf
O 16.00 O.upf
CELL_PARAMETERS angstrom
-4.597 -0.264 5.661
-1.274 -6.345 3.373
2.568 -1.131 6.737
ATOMIC_POSITIONS angstrom
Tm -1.427 -1.665 8.170
Tm 0.234 -4.706 7.026
Tm -2.064 -4.838 9.857
Tm -3.349 -4.272 6.489
Mo -2.712 -1.100 4.802
Mo 0.871 -1.533 5.340
Mo -0.413 -0.968 1.971
Mo -1.050 -4.140 3.658
O -4.047 -5.425 8.538
O -1.437 -5.275 5.324
O -1.651 -3.870 7.886
O -2.650 -3.119 4.439
O -1.866 -2.465 10.447
O 0.744 -2.315 7.233
O 0.998 -0.751 3.446
O -0.989 -0.865 5.893
O 0.021 -5.917 9.148
O -3.324 -1.823 6.623
O -0.662 -3.005 1.992
O -2.099 -0.376 2.981
O -2.477 -5.805 11.828
O 0.448 -3.494 4.904
```

***

Density functional theory data (GGA+U) for Tm2MoO6 after structural relaxation. Values from VASP.

Calculated values
Magnetization (μB/f.u.): 0.0
Electronic total energy (eV per atom): -7.84

Quantum ESPRESSO input file:
```
&SYSTEM
  ibrav = 0, nat = 18, ntyp = 3
/
ATOMIC_SPECIES
O 16.00 O.upf
Tm 168.93 Tm.upf
Mo 95.94 Mo.upf
CELL_PARAMETERS angstrom
4.952 0.000 0.000
0.000 4.952 0.000
0.000 0.000 9.836
ATOMIC_POSITIONS angstrom
O 4.031 0.922 8.380
O 3.567 3.567 0.000
O 4.031 0.922 1.456
O 3.398 3.398 3.462
O 3.861 1.091 4.918
O 0.922 4.031 1.456
O 1.091 3.861 4.918
O 1.555 1.555 6.374
O 1.555 1.555 3.462
O 0.922 4.031 8.380
O 1.385 1.385 0.000
O 3.398 3.398 6.374
Tm 2.476 2.476 1.649
Tm 0.000 0.000 6.567
Tm 2.476 2.476 8.187
Tm 0.000 0.000 3.269
Mo 2.476 2.476 4.918
Mo 0.000 0.000 0.000
```

***

Density functional theory data (GGA+U) for Tm2MoO5 after structural relaxation. Values from VASP.

Calculated values
Magnetization (μB/f.u.): 2.0
Electronic total energy (eV per atom): -8.02

Quantum ESPRESSO input file:
```
&SYSTEM
  ibrav = 0, nat = 32, ntyp = 3
/
ATOMIC_SPECIES
O 16.00 O.upf
Mo 95.94 Mo.upf
Tm 168.93 Tm.upf
CELL_PARAMETERS angstrom
-2.985 0.937 4.938
2.118 -5.661 2.355
7.609 4.412 3.762
ATOMIC_POSITIONS angstrom
O 2.316 -4.928 3.416
O 1.802 0.158 3.225
O -0.556 0.178 5.395
O -0.755 -0.992 2.762
O 3.743 2.229 6.457
O 1.381 -2.429 2.376
O 2.998 -2.540 4.599
O 5.982 2.246 4.485
O 1.182 2.235 4.831
O 2.117 -0.264 5.871
O 0.760 -2.557 6.570
O 7.297 -0.489 5.661
O 5.361 2.118 8.680
O 4.939 -0.469 7.831
O 4.171 0.862 2.788
O 4.426 4.617 7.640
O 2.571 -1.173 8.267
O 4.624 -0.047 5.185
O 5.559 -2.546 6.224
O 7.497 0.681 8.294
Mo -1.228 -3.358 6.433
Mo 3.739 -1.517 6.391
Mo 7.970 3.047 4.622
Mo 3.003 1.206 4.664
Tm 3.271 1.066 8.542
Tm 5.915 1.256 6.644
Tm 3.470 -1.377 2.513
Tm 2.215 3.890 7.368
Tm 6.971 -1.567 7.819
Tm 4.527 -4.201 3.688
Tm -0.230 1.256 3.237
Tm 0.827 -1.567 4.412
```

***

Density functional theory data (GGA+U) for Tm2MoO6 after structural relaxation. Values from VASP.

Calculated values
Magnetization (μB/f.u.): 0.0
Electronic total energy (eV per atom): -7.89

Quantum ESPRESSO input file:
```
&SYSTEM
  ibrav = 0, nat = 36, ntyp = 3
/
ATOMIC_SPECIES
O 16.00 O.upf
Tm 168.93 Tm.upf
Mo 95.94 Mo.upf
CELL_PARAMETERS angstrom
-5.726 -6.524 -4.621
-2.264 -7.648 5.753
-4.929 1.003 1.753
ATOMIC_POSITIONS angstrom
O -4.862 -2.791 1.917
O -6.178 -5.196 1.279
O -2.784 -5.796 3.558
O -4.623 -5.724 -1.798
O -10.551 -9.942 0.056
O -6.252 -2.266 -0.547
O -0.801 -1.065 -0.203
O -5.735 -8.503 4.250
O -10.135 -7.373 -0.673
O -2.368 -3.228 2.829
O -7.184 -4.667 -1.365
O -2.752 -3.178 -0.022
O -10.167 -9.992 2.907
O -12.118 -12.104 3.088
O -9.865 -12.537 1.579
O -6.741 -7.973 1.606
O -9.336 -7.429 2.091
O -3.054 -0.632 1.306
O -8.296 -7.445 4.683
O -6.667 -10.904 3.432
O -7.449 -7.421 -1.039
O -8.057 -10.378 0.968
O -5.470 -5.748 3.924
O -3.583 -5.740 0.794
Tm -6.436 -6.741 5.643
Tm -6.340 -9.203 -0.226
Tm -4.914 -4.208 -0.161
Tm -4.864 -6.953 2.092
Tm -8.055 -6.216 0.793
Tm -8.005 -8.961 3.045
Tm -6.579 -3.966 3.110
Tm -6.483 -6.428 -2.758
Mo -2.032 -1.963 -1.191
Mo -9.407 -11.389 0.249
Mo -10.887 -11.207 4.075
Mo -3.512 -1.781 2.635
```

***

Density functional theory data (GGA+U) for TmMo2O6 after structural relaxation. Values from VASP.

Calculated values
Magnetization (μB/f.u.): 3.0
Electronic total energy (eV per atom): -7.55

Quantum ESPRESSO input file:
```
&SYSTEM
  ibrav = 0, nat = 9, ntyp = 3
/
ATOMIC_SPECIES
O 16.00 O.upf
Mo 95.94 Mo.upf
Tm 168.93 Tm.upf
CELL_PARAMETERS angstrom
4.858 0.000 0.000
0.000 4.556 -2.631
0.000 0.000 5.261
ATOMIC_POSITIONS angstrom
O 3.543 2.960 1.709
O 1.315 1.596 0.922
O 1.315 4.556 0.787
O 1.315 2.959 3.552
O 3.543 1.597 -0.922
O 3.543 0.000 1.844
Mo 2.429 1.519 2.630
Mo 2.429 3.037 0.000
Tm 0.000 0.000 0.000
```